# PBE Sm2TmSi2, optimized geometry
# **E_form (uncorrected)**: -0.71 eV/atom
# **Energy relative to the lowest polymorph listed for this composition**: 0.000 eV per atom
# **DOS at the Fermi energy**: 8.18 states/eV per cell
data_Sm2TmSi2
_chemical_formula_sum 'Sm4 Tm2 Si4'
_cell_length_a 7.5076
_cell_length_b 7.5076
_cell_length_c 4.3319
_cell_angle_alpha 90.00
_cell_angle_beta 90.00
_cell_angle_gamma 90.00
_space_group_name_H-M_alt 'P 4/m b m'
_space_group_IT_number 127
_space_group_name_Hall '-P 4 2ab'
loop_
_atom_site_label
_atom_site_type_symbol
_atom_site_fract_x
_atom_site_fract_y
_atom_site_fract_z
_atom_site_occupancy
Sm1 Sm 0.1768 0.3232 0.0000 1
Tm1 Tm 0.0000 0.0000 0.5000 1
Si1 Si 0.1159 0.6159 0.5000 1